{
  "formula": "Sm3Y2Ho4",
  "functional": "GGA-PBE",
  "state": "optimized geometry",
  "n_ef_per_ev_fu": 11.3,
  "e_form_mev_per_atom": 19,
  "spacegroup": "No. 12",
  "total_magnetization_mub_per_fu": 0.00,
  "mass_density_g_cm3": 7.40,
  "lattice_angstrom": [[3.567, 0.000, 0.000], [-1.783, 5.843, 0.963], [0.000, 4.163, 14.566]],
  "species": ["Y", "Y", "Ho", "Ho", "Ho", "Ho", "Sm", "Sm", "Sm"],
  "fractional_positions": [[0.333, 0.666, 0.222], [0.667, 0.334, 0.778], [0.001, 0.002, 0.332], [0.334, 0.667, 0.889], [0.999, 0.998, 0.668], [0.666, 0.333, 0.111], [0.334, 0.668, 0.555], [0.666, 0.332, 0.445], [0.000, 0.000, 0.000]]
}